# 1
A plane-wave DFT calculation with PBE was carried out for a relaxed structure of TiNiRuPt.

Lattice parameters (Å, degrees): 3.661 3.810 3.967 90.00 90.00 90.00
Atoms (fractional coordinates):
Ti: 0.000 0.000 0.000
Ni: 0.000 0.500 0.500
Ru: 0.500 0.500 0.000
Pt: 0.500 0.000 0.500

The crystal system is orthorhombic. Its symmetry is Pmmm, No. 47. The calculation puts the magnetization at 0.00 μB/cell. The value obtained for the energy of formation from the pure elements is -0.5592 eV/atom.

---

# 2
A plane-wave DFT calculation with PBE was carried out for a relaxed structure of UNiRuPt.

Lattice parameters (Å, degrees): 3.848 3.910 4.219 90.00 90.00 90.00
Atoms (fractional coordinates):
U: 0.000 0.000 0.000
Ni: 0.500 0.000 0.500
Ru: 0.500 0.500 0.000
Pt: 0.000 0.500 0.500

The crystal system is orthorhombic. Its symmetry is Pmmm, No. 47. The calculation puts the magnetization at 0.00 μB/cell. The value obtained for the energy of formation from the pure elements is -0.5376 eV/atom.

---

# 3
A plane-wave DFT calculation with PBE was carried out for a relaxed structure of VNiRuPt.

Lattice parameters (Å, degrees): 3.607 3.752 3.944 90.00 90.00 90.00
Atoms (fractional coordinates):
V: 0.000 0.000 0.000
Ni: 0.000 0.500 0.500
Ru: 0.500 0.500 0.000
Pt: 0.500 0.000 0.500

The crystal system is orthorhombic. Its symmetry is Pmmm, No. 47. The calculation puts the magnetization at 0.00 μB/cell. The value obtained for the energy of formation from the pure elements is -0.3152 eV/atom.

---

# 4
A plane-wave DFT calculation with PBE was carried out for a relaxed structure of Ni4Pt2S.

Lattice parameters (Å, degrees): 6.753 6.753 6.753 144.49 144.49 51.09
Atoms (fractional coordinates):
Ni: 0.000 0.500 0.500
Ni: 0.172 0.172 0.000
Ni: 0.500 0.000 0.500
Ni: 0.828 0.828 0.000
Pt: 0.370 0.370 0.000
Pt: 0.630 0.630 0.000
S: 0.000 0.000 0.000

The crystal system is tetragonal. Its symmetry is I4/mmm, No. 139. The calculation puts the energy relative to the elements, uncorrected at 0.29 eV per atom. The calculation puts the magnetization at 0.74 μB/cell.

---

# 5
A plane-wave DFT calculation with PBE was carried out for a relaxed structure of NiPtS2.

Lattice parameters (Å, degrees): 6.334 6.334 6.334 130.81 130.81 72.11
Atoms (fractional coordinates):
Ni: 0.000 0.000 0.000
Ni: 0.750 0.250 0.500
Pt: 0.250 0.750 0.500
Pt: 0.500 0.500 0.000
S: 0.100 0.625 0.975
S: 0.375 0.350 0.475
S: 0.650 0.125 0.025
S: 0.875 0.900 0.525

The crystal system is tetragonal. Its symmetry is I-42d, No. 122. The calculation puts the energy relative to the elements, uncorrected at -0.17 eV per atom. The calculation puts the magnetization at 0.00 μB/cell.

---

# 6
A plane-wave DFT calculation with PBE was carried out for a relaxed structure of Ni2PtS.

Lattice parameters (Å, degrees): 5.264 5.264 5.264 102.32 102.32 124.97
Atoms (fractional coordinates):
Ni: 0.073 0.625 0.948
Ni: 0.375 0.323 0.448
Ni: 0.677 0.125 0.052
Ni: 0.875 0.927 0.552
Pt: 0.250 0.750 0.500
Pt: 0.500 0.500 0.000
S: 0.000 0.000 0.000
S: 0.750 0.250 0.500

The crystal system is tetragonal. Its symmetry is I-42d, No. 122. The calculation puts the energy relative to the elements, uncorrected at -0.03 eV per atom. The calculation puts the magnetization at 0.00 μB/cell.